# Ca2InAs

A PBEsol-optimized structure of Ca2InAs (meta-GGA SCAN, Alexandria).

Calculated values
Its energy relative to the elements is -0.8437 eV/atom. The calculation puts the density of states at the Fermi level at 0.78 states/eV/cell. As for the offset from the most stable computed form: 0 meV per atom. As for the electronic total energy: -19.070 eV/atom. The calculated volume is 24.78 A^3/atom.

Geometry as extended XYZ:
```
4
Lattice="3.8035 0.0000 0.0000 0.0000 3.8035 0.0000 0.0000 0.0000 6.8518" Properties=species:S:1:pos:R:3 pbc="T T T"
Ca 0.0000 0.0000 1.5005
Ca 0.0000 0.0000 5.3513
In 1.9017 1.9017 3.4259
As 1.9017 1.9017 0.0000
```